No. 1
Computed, not measured: a relaxed Ti3Nb4Mo2 crystal at the PBE-GGA level of DFT.

abc: 13.736 3.243 7.193
angles: 90.00 105.25 90.00
Space group C2/m (No. 12)
One atom of each set of equivalent atoms:
Ti  0.000  0.000  0.000 (multiplicity 2)
Ti  0.119  0.000  0.702 (multiplicity 4)
Nb  0.050  0.500  0.345 (multiplicity 4)
Nb  0.215  0.000  0.328 (multiplicity 4)
Mo  0.169  0.500  0.010 (multiplicity 4)

Properties
Energy relative to the elements: -33 meV per atom
Electronic total energy: -9.547 eV/atom

***

No. 2
Computed, not measured: a relaxed Pm2Ho4ErTm2 crystal at the PBE-GGA level of DFT.

abc: 5.968 6.585 8.539
angles: 79.79 70.16 64.75
Space group P-1 (No. 2)
One atom of each set of equivalent atoms:
Pm  0.232  0.323  0.342 (multiplicity 2)
Ho  0.115  0.127  0.763 (multiplicity 2)
Ho  0.241  0.574  0.884 (multiplicity 2)
Er  0.500  0.000  0.000 (multiplicity 1)
Tm  0.321  0.771  0.445 (multiplicity 2)

Properties
Energy relative to the elements: 88 meV per atom
Electronic total energy: -4.503 eV/atom

***

No. 3
Computed, not measured: a relaxed CaAgRh crystal at the PBE-GGA level of DFT.

abc: 6.510 6.510 6.510
angles: 90.00 90.00 90.00
Space group F-43m (No. 216)
One atom of each set of equivalent atoms:
Ca  0.000  0.000  0.000 (multiplicity 4)
Ag  0.250  0.250  0.750 (multiplicity 4)
Rh  0.250  0.250  0.250 (multiplicity 4)

Properties
Energy relative to the elements: 410 meV per atom
Electronic total energy: -3.658 eV/atom
ΔE to the lowest computed polymorph: 717 meV per atom